# 1
The following is a DFT calculation (GGA-PBE) of crystalline Sr2AcEu at its relaxed geometry.

Its distance to the lowest polymorph of the same formula is 6 kJ/mol of formula units. The value obtained for the formation energy is 0.099 eV per atom. The magnetization is 2.043 μB/atom. Its calculated volume is 48.668 Å³ per atom.

Unit cell a=5.6883 b=5.6883 c=6.0165 alpha=90.00 beta=90.00 gamma=90.00
With the nearest neighbours (Å) after each atom.
Element x y z (fractional)
Sr 0.0000 0.5000 0.0000  4 Sr 4.02, 4 Ac 4.14, 4 Eu 4.14
Sr 0.5000 0.0000 0.0000  4 Sr 4.02, 4 Ac 4.14, 4 Eu 4.14
Ac 0.0000 0.0000 0.5000  4 Eu 4.02, 8 Sr 4.14
Eu 0.5000 0.5000 0.5000  4 Ac 4.02, 8 Sr 4.14

# 2
The following is a DFT calculation (GGA-PBE) of crystalline SrAcEu2 at its relaxed geometry.

Its distance to the lowest polymorph of the same formula is 9 kJ/mol of formula units. The value obtained for the formation energy is 0.056 eV per atom. The magnetization is 3.687 μB/atom. Its calculated volume is 45.363 Å³ per atom.

Unit cell a=6.4210 b=6.4210 c=4.4011 alpha=90.00 beta=90.00 gamma=90.00
With the nearest neighbours (Å) after each atom.
Element x y z (fractional)
Sr 0.0000 0.0000 0.0000  8 Eu 3.89
Ac 0.5000 0.5000 0.0000  8 Eu 3.89
Eu 0.0000 0.5000 0.5000  4 Ac 3.89, 4 Sr 3.89
Eu 0.5000 0.0000 0.5000  4 Ac 3.89, 4 Sr 3.89

# 3
The following is a DFT calculation (GGA-PBE) of crystalline Sr2AcEu at its relaxed geometry.

Its distance to the lowest polymorph of the same formula is 5 kJ/mol of formula units. The value obtained for the formation energy is 0.097 eV per atom. The magnetization is 1.849 μB/atom. Its calculated volume is 48.486 Å³ per atom.

Unit cell a=6.4972 b=6.4972 c=6.4972 alpha=60.00 beta=60.00 gamma=60.00
With the nearest neighbours (Å) after each atom.
Element x y z (fractional)
Sr 0.2500 0.2500 0.2500  4 Eu 3.98, 4 Ac 3.98
Sr 0.7500 0.7500 0.7500  4 Ac 3.98, 4 Eu 3.98
Ac 0.0000 0.0000 0.0000  8 Sr 3.98
Eu 0.5000 0.5000 0.5000  8 Sr 3.98

# 4
The following is a DFT calculation (GGA-PBE) of crystalline Sr2AcEu at its relaxed geometry.

Its distance to the lowest polymorph of the same formula is 0 kJ/mol of formula units. The value obtained for the formation energy is 0.084 eV per atom. The magnetization is 1.820 μB/atom. Its calculated volume is 48.451 Å³ per atom.

Unit cell a=4.5042 b=4.5042 c=9.5528 alpha=90.00 beta=90.00 gamma=90.00
With the nearest neighbours (Å) after each atom.
Element x y z (fractional)
Sr 0.0000 0.0000 0.2461  4 Eu 3.96, 4 Ac 4.00
Sr 0.0000 0.0000 0.7539  4 Eu 3.96, 4 Ac 4.00
Ac 0.5000 0.5000 0.5000  8 Sr 4.00
Eu 0.5000 0.5000 0.0000  8 Sr 3.96

# 5
The following is a DFT calculation (GGA-PBE) of crystalline SrAcEu4 at its relaxed geometry.

The value obtained for the formation energy is 0.110 eV per atom. The magnetization is 5.126 μB/atom. Its calculated volume is 45.638 Å³ per atom.

Unit cell a=7.2889 b=7.2889 c=7.2889 alpha=60.00 beta=60.00 gamma=60.00
With the nearest neighbours (Å) after each atom.
Element x y z (fractional)
Sr 0.0000 0.0000 0.0000  12 Eu 4.28, 4 Ac 4.46
Ac 0.2500 0.2500 0.2500  12 Eu 4.27, 4 Sr 4.46
Eu 0.1272 0.6243 0.6243  6 Eu 3.62-3.67
Eu 0.6243 0.1272 0.6243  6 Eu 3.62-3.67
Eu 0.6243 0.6243 0.1272  6 Eu 3.62-3.67
Eu 0.6243 0.6243 0.6243  6 Eu 3.62-3.67

# 6
The following is a DFT calculation (GGA-PBE) of crystalline SrAcEu2 at its relaxed geometry.

Its distance to the lowest polymorph of the same formula is 37 kJ/mol of formula units. The value obtained for the formation energy is 0.126 eV per atom. The magnetization is 3.902 μB/atom. Its calculated volume is 46.977 Å³ per atom.

Unit cell a=14.1840 b=14.1840 c=14.1840 alpha=15.95 beta=15.95 gamma=15.95
With the nearest neighbours (Å) after each atom.
Element x y z (fractional)
Sr 0.0000 0.0000 0.0000  2 Eu 3.76, 6 Sr 3.94
Ac 0.5000 0.5000 0.5000  6 Ac 3.94, 6 Eu 3.96
Eu 0.0894 0.0894 0.0894  1 Sr 3.76, 6 Eu 3.94, 3 Ac 3.96
Eu 0.9106 0.9106 0.9106  1 Sr 3.76, 6 Eu 3.94, 3 Ac 3.96

# 7
The following is a DFT calculation (GGA-PBE) of crystalline Sr2AcEu at its relaxed geometry.

Its distance to the lowest polymorph of the same formula is 37 kJ/mol of formula units. The value obtained for the formation energy is 0.181 eV per atom. The magnetization is 1.883 μB/atom. Its calculated volume is 49.425 Å³ per atom.

Unit cell a=14.6364 b=14.6364 c=14.6364 alpha=15.60 beta=15.60 gamma=15.60
With the nearest neighbours (Å) after each atom.
Element x y z (fractional)
Sr 0.0888 0.0888 0.0888  1 Ac 3.85, 6 Sr 3.97, 3 Eu 4.08
Sr 0.9112 0.9112 0.9112  1 Ac 3.85, 6 Sr 3.97, 3 Eu 4.08
Ac 0.0000 0.0000 0.0000  2 Sr 3.85, 6 Ac 3.97
Eu 0.5000 0.5000 0.5000  6 Eu 3.97, 6 Sr 4.08

# 8
The following is a DFT calculation (GGA-PBE) of crystalline AcTb4Eu at its relaxed geometry.

The value obtained for the formation energy is 0.228 eV per atom. The magnetization is 1.156 μB/atom. Its calculated volume is 37.526 Å³ per atom.

Unit cell a=6.8286 b=6.8286 c=6.8286 alpha=60.00 beta=60.00 gamma=60.00
With the nearest neighbours (Å) after each atom.
Element x y z (fractional)
Ac 0.0000 0.0000 0.0000  12 Tb 4.00, 4 Eu 4.18
Tb 0.3741 0.3741 0.3741  6 Tb 3.39-3.44
Tb 0.3741 0.3741 0.8777  6 Tb 3.39-3.44
Tb 0.3741 0.8777 0.3741  6 Tb 3.39-3.44
Tb 0.8777 0.3741 0.3741  6 Tb 3.39-3.44
Eu 0.7500 0.7500 0.7500  12 Tb 4.01, 4 Ac 4.18

# 9
The following is a DFT calculation (GGA-PBE) of crystalline Ac2TbEu at its relaxed geometry.

Its distance to the lowest polymorph of the same formula is 13 kJ/mol of formula units. The value obtained for the formation energy is 0.068 eV per atom. The magnetization is 1.899 μB/atom. Its calculated volume is 40.233 Å³ per atom.

Unit cell a=5.5417 b=5.5417 c=5.2402 alpha=90.00 beta=90.00 gamma=90.00
With the nearest neighbours (Å) after each atom.
Element x y z (fractional)
Ac 0.0000 0.5000 0.0000  4 Tb 3.81, 4 Eu 3.81, 4 Ac 3.92
Ac 0.5000 0.0000 0.0000  4 Tb 3.81, 4 Eu 3.81, 4 Ac 3.92
Tb 0.0000 0.0000 0.5000  8 Ac 3.81, 4 Eu 3.92
Eu 0.5000 0.5000 0.5000  8 Ac 3.81, 4 Tb 3.92

# 10
The following is a DFT calculation (GGA-PBE) of crystalline Ac2TbEu at its relaxed geometry.

Its distance to the lowest polymorph of the same formula is 0 kJ/mol of formula units. The value obtained for the formation energy is 0.035 eV per atom. The magnetization is 1.841 μB/atom. Its calculated volume is 40.718 Å³ per atom.

Unit cell a=3.9146 b=3.9146 c=10.6283 alpha=90.00 beta=90.00 gamma=90.00
With the nearest neighbours (Å) after each atom.
Element x y z (fractional)
Ac 0.0000 0.0000 0.2355  4 Tb 3.73, 4 Ac 3.91, 4 Eu 3.95
Ac 0.0000 0.0000 0.7645  4 Tb 3.73, 4 Ac 3.91, 4 Eu 3.95
Tb 0.5000 0.5000 0.0000  8 Ac 3.73, 4 Tb 3.91
Eu 0.5000 0.5000 0.5000  4 Eu 3.91, 8 Ac 3.95

# 11
The following is a DFT calculation (GGA-PBE) of crystalline AcTbEuZn at its relaxed geometry.

The value obtained for the formation energy is 0.183 eV per atom. The magnetization is 1.837 μB/atom. Its calculated volume is 32.085 Å³ per atom.

Unit cell a=5.6619 b=5.6619 c=5.6619 alpha=60.00 beta=60.00 gamma=60.00
With the nearest neighbours (Å) after each atom.
Element x y z (fractional)
Ac 0.0000 0.0000 0.0000  4 Tb 3.47, 4 Eu 3.47
Tb 0.2500 0.2500 0.2500  4 Zn 3.47, 4 Ac 3.47
Eu 0.7500 0.7500 0.7500  4 Ac 3.47, 4 Zn 3.47
Zn 0.5000 0.5000 0.5000  4 Tb 3.47, 4 Eu 3.47

# 12
The following is a DFT calculation (GGA-PBE) of crystalline Ac3EuTc at its relaxed geometry.

The value obtained for the formation energy is 0.069 eV per atom. The magnetization is 1.489 μB/atom. Its calculated volume is 39.860 Å³ per atom.

Unit cell a=5.8412 b=5.8412 c=5.8412 alpha=90.00 beta=90.00 gamma=90.00
With the nearest neighbours (Å) after each atom.
Element x y z (fractional)
Ac 0.0000 0.0000 0.5000  2 Tc 2.92
Ac 0.0000 0.5000 0.0000  2 Tc 2.92
Ac 0.5000 0.0000 0.0000  2 Tc 2.92
Eu 0.5000 0.5000 0.5000  12 Ac 4.13
Tc 0.0000 0.0000 0.0000  6 Ac 2.92

# 13
The following is a DFT calculation (GGA-PBE) of crystalline AcEuTe at its relaxed geometry.

Its distance to the lowest polymorph of the same formula is 68 kJ/mol of formula units. For the formation energy without anion corrections, the calculation gives -0.628 eV/atom. The magnetization is 2.562 μB/atom. Its calculated volume is 37.426 Å³ per atom.

Unit cell a=5.4413 b=5.4413 c=4.3788 alpha=90.00 beta=90.00 gamma=120.00
With the nearest neighbours (Å) after each atom.
Element x y z (fractional)
Ac 0.0000 0.0000 0.0000  6 Te 3.69-3.98, 6 Eu 3.83
Eu 0.6667 0.3333 0.5005  3 Te 3.15
Te 0.3333 0.6667 0.4401  3 Eu 3.15

# 14
The following is a DFT calculation (GGA-PBE) of crystalline Ac2EuTe at its relaxed geometry.

For the formation energy without anion corrections, the calculation gives -0.410 eV/atom. The magnetization is 1.862 μB/atom. Its calculated volume is 45.927 Å³ per atom.

Unit cell a=12.2967 b=12.2967 c=12.2967 alpha=19.64 beta=19.64 gamma=19.64
With the nearest neighbours (Å) after each atom.
Element x y z (fractional)
Ac 0.1048 0.1048 0.1048  3 Te 3.30
Ac 0.8952 0.8952 0.8952  3 Te 3.30
Eu 0.0000 0.0000 0.0000  2 Ac 3.79, 6 Eu 4.19
Te 0.5000 0.5000 0.5000  6 Ac 3.30

# 15
The following is a DFT calculation (GGA-PBE) of crystalline AcEuTe at its relaxed geometry.

Its distance to the lowest polymorph of the same formula is 0 kJ/mol of formula units. For the formation energy without anion corrections, the calculation gives -0.864 eV/atom. The magnetization is 2.503 μB/atom. Its calculated volume is 38.399 Å³ per atom.

Unit cell a=7.5883 b=7.5883 c=7.5883 alpha=149.05 beta=149.05 gamma=44.33
With the nearest neighbours (Å) after each atom.
Element x y z (fractional)
Ac 0.0000 0.0000 0.0000  4 Te 3.50, 1 Eu 3.90
Eu 0.2772 0.2772 0.0000  4 Te 3.43
Te 0.6432 0.6432 0.0000  4 Eu 3.43, 4 Ac 3.50

# 16
The following is a DFT calculation (GGA-PBE) of crystalline AcEuTh at its relaxed geometry.

Its distance to the lowest polymorph of the same formula is 1 kJ/mol of formula units. The value obtained for the formation energy is 0.118 eV per atom. The magnetization is 2.650 μB/atom. Its calculated volume is 38.670 Å³ per atom.

Unit cell a=8.5615 b=8.5615 c=8.5615 alpha=154.52 beta=154.52 gamma=36.35
With the nearest neighbours (Å) after each atom.
Element x y z (fractional)
Ac 0.0000 0.0000 0.0000  4 Th 3.68, 4 Ac 3.78, 4 Eu 4.04
Eu 0.3138 0.3138 0.0000  4 Th 3.71, 4 Eu 3.78, 4 Ac 4.04
Th 0.6554 0.6554 0.0000  4 Ac 3.68, 4 Eu 3.71, 4 Th 3.78

# 17
The following is a DFT calculation (GGA-PBE) of crystalline Ac2EuTh at its relaxed geometry.

Its distance to the lowest polymorph of the same formula is 28 kJ/mol of formula units. The value obtained for the formation energy is 0.151 eV per atom. The magnetization is 1.811 μB/atom. Its calculated volume is 39.623 Å³ per atom.

Unit cell a=5.4575 b=5.4575 c=5.3214 alpha=90.00 beta=90.00 gamma=90.00
With the nearest neighbours (Å) after each atom.
Element x y z (fractional)
Ac 0.0000 0.5000 0.0000  4 Th 3.81, 4 Eu 3.81, 4 Ac 3.86
Ac 0.5000 0.0000 0.0000  4 Th 3.81, 4 Eu 3.81, 4 Ac 3.86
Eu 0.0000 0.0000 0.5000  8 Ac 3.81, 4 Th 3.86
Th 0.5000 0.5000 0.5000  8 Ac 3.81, 4 Eu 3.86

# 18
The following is a DFT calculation (GGA-PBE) of crystalline AcEuTh2 at its relaxed geometry.

The value obtained for the formation energy is 0.304 eV per atom. The magnetization is 1.903 μB/atom. Its calculated volume is 36.990 Å³ per atom.

Unit cell a=13.1448 b=13.1448 c=13.1448 alpha=15.87 beta=15.87 gamma=15.87
With the nearest neighbours (Å) after each atom.
Element x y z (fractional)
Ac 0.0000 0.0000 0.0000  6 Ac 3.63, 6 Th 3.71
Eu 0.5000 0.5000 0.5000  2 Th 3.42, 6 Eu 3.63
Th 0.4121 0.4121 0.4121  1 Eu 3.42, 6 Th 3.63, 3 Ac 3.71
Th 0.5879 0.5879 0.5879  1 Eu 3.42, 6 Th 3.63, 3 Ac 3.71

# 19
The following is a DFT calculation (GGA-PBE) of crystalline Ac2EuTh at its relaxed geometry.

Its distance to the lowest polymorph of the same formula is 89 kJ/mol of formula units. The value obtained for the formation energy is 0.309 eV per atom. The magnetization is 1.889 μB/atom. Its calculated volume is 40.858 Å³ per atom.

Unit cell a=13.7903 b=13.7903 c=13.7903 alpha=15.51 beta=15.51 gamma=15.51
With the nearest neighbours (Å) after each atom.
Element x y z (fractional)
Ac 0.0863 0.0863 0.0863  1 Th 3.52, 6 Ac 3.72, 3 Eu 3.93
Ac 0.9137 0.9137 0.9137  1 Th 3.52, 6 Ac 3.72, 3 Eu 3.93
Eu 0.5000 0.5000 0.5000  6 Eu 3.72, 6 Ac 3.93
Th 0.0000 0.0000 0.0000  2 Ac 3.52, 6 Th 3.72

# 20
The following is a DFT calculation (GGA-PBE) of crystalline Ac2EuTh at its relaxed geometry.

Its distance to the lowest polymorph of the same formula is 0 kJ/mol of formula units. The value obtained for the formation energy is 0.078 eV per atom. The magnetization is 1.945 μB/atom. Its calculated volume is 40.708 Å³ per atom.

Unit cell a=3.8314 b=3.8314 c=11.0926 alpha=90.00 beta=90.00 gamma=90.00
With the nearest neighbours (Å) after each atom.
Element x y z (fractional)
Ac 0.0000 0.0000 0.2292  4 Th 3.72, 4 Ac 3.83, 4 Eu 4.05
Ac 0.0000 0.0000 0.7708  4 Th 3.72, 4 Ac 3.83, 4 Eu 4.05
Eu 0.5000 0.5000 0.5000  4 Eu 3.83, 8 Ac 4.05
Th 0.5000 0.5000 0.0000  8 Ac 3.72, 4 Th 3.83

Number 1: DFT total energy -4.338 eV/atom. Number 2: DFT total energy -6.529 eV/atom. Number 3: DFT total energy -4.340 eV/atom. Number 4: DFT total energy -4.352 eV/atom. Number 5: DFT total energy -7.705 eV/atom. Number 6: DFT total energy -6.459 eV/atom. Number 7: DFT total energy -4.256 eV/atom. Number 8: DFT total energy -5.256 eV/atom. Number 9: DFT total energy -5.712 eV/atom. Number 10: DFT total energy -5.745 eV/atom. Number 11: DFT total energy -4.889 eV/atom. Number 12: DFT total energy -6.524 eV/atom. Number 13: DFT total energy -6.470 eV/atom. Number 14: DFT total energy -5.818 eV/atom. Number 15: DFT total energy -6.705 eV/atom. Number 16: DFT total energy -7.149 eV/atom. Number 17: DFT total energy -6.327 eV/atom. Number 18: DFT total energy -7.001 eV/atom. Number 19: DFT total energy -6.169 eV/atom. Number 20: DFT total energy -6.400 eV/atom.